Entry 1:
# HoCdIn2Te4, relaxed, DFT PBE
# Energy relative to the elements, uncorrected in kJ per mole of atoms: -57.6
data_HoCdIn2Te4
_symmetry_space_group_name_H-M 'P 1 2/m 1'
_symmetry_Int_Tables_number 10
_symmetry_space_group_name_Hall '-P 2y'
_cell_length_a 7.7477
_cell_length_b 4.3839
_cell_length_c 7.9489
_cell_angle_alpha 90.00
_cell_angle_beta 109.27
_cell_angle_gamma 90.00
loop_
_atom_site_label
_atom_site_type_symbol
_atom_site_fract_x
_atom_site_fract_y
_atom_site_fract_z
Ho1 Ho 0.0000 0.0000 0.0000
Cd1 Cd 0.5000 0.5000 0.0000
In1 In 0.0000 0.5000 0.5000
In2 In 0.5000 0.0000 0.5000
Te1 Te 0.2359 0.5000 0.2345
Te2 Te 0.2528 0.0000 0.7676

---

Entry 2:
# HoThCdIn, relaxed, DFT PBE
# DFT formation energy in eV/atom: -0.2671
data_HoThCdIn
_symmetry_space_group_name_H-M 'F -4 3 m'
_symmetry_Int_Tables_number 216
_symmetry_space_group_name_Hall 'F -4 2 3'
_cell_length_a 7.6086
_cell_length_b 7.6086
_cell_length_c 7.6086
_cell_angle_alpha 90.00
_cell_angle_beta 90.00
_cell_angle_gamma 90.00
loop_
_atom_site_label
_atom_site_type_symbol
_atom_site_fract_x
_atom_site_fract_y
_atom_site_fract_z
Ho1 Ho 0.0000 0.0000 0.0000
Th1 Th 0.0000 0.0000 0.5000
Cd1 Cd 0.2500 0.2500 0.7500
In1 In 0.2500 0.2500 0.2500